This record from Alexandria via LeMat-Bulk describes an optimized crystal structure of OsPbBr2. The functional is GGA-PBE.

a = 10.5564 Å, b = 10.5564 Å, c = 10.5564 Å
α = 20.21°, β = 20.21°, γ = 20.21°
With the nearest neighbours (Å) after each atom.
Element x y z (fractional)
Os (0.0000, 0.0000, 0.0000)  6 Br 2.52
Pb (0.5000, 0.5000, 0.5000)  6 Pb 3.70
Br (0.2902, 0.2902, 0.2902)  3 Os 2.52
Br (0.7098, 0.7098, 0.7098)  3 Os 2.52

Results
Polymorph energy (0 for the lowest one) in eV/f.u.: 0.85
D(E_F) in states/eV/atom: 0.39
E in eV per cell: -16.3
Formation energy from raw total energies in eV/atom: 0.484

=====

This record from Alexandria via LeMat-Bulk describes an optimized crystal structure of OsPbBr2. The functional is GGA-PBE.

a = 7.3496 Å, b = 7.3496 Å, c = 5.0972 Å
α = 110.15°, β = 110.15°, γ = 26.80°
With the nearest neighbours (Å) after each atom.
Element x y z (fractional)
Os (0.0000, 0.0000, 0.0000)  4 Br 2.59
Pb (0.5000, 0.5000, 0.5000)  4 Os 3.07, 4 Br 3.20-3.21, 2 Pb 3.41
Br (0.3541, 0.3541, 0.8537)  2 Os 2.59
Br (0.6459, 0.6459, 0.1463)  2 Os 2.59

Results
Polymorph energy (0 for the lowest one) in eV/f.u.: 0.41
D(E_F) in states/eV/atom: 0.21
E in eV per cell: -16.8
Formation energy from raw total energies in eV/atom: 0.373